Sc2TiHg2 after structural relaxation, computed with PBE.

## Properties
* E_form: -0.139 eV/atom
* total moment: 3.50 Bohr magnetons per cell

a b c (Å): 7.923 7.923 3.491
angles (deg): 90.00 90.00 90.00
Each line ends with the local moment (μB).
Positions (direct):
Sc (0.169, 0.669, 0.500)  0.05
Sc (0.669, 0.831, 0.500)  0.05
Sc (0.831, 0.331, 0.500)  0.06
Sc (0.331, 0.169, 0.500)  0.05
Hg (0.366, 0.866, 0.000)  -0.01
Hg (0.866, 0.634, 0.000)  0.00
Hg (0.634, 0.134, 0.000)  -0.01
Hg (0.134, 0.366, 0.000)  0.00
Ti (0.000, 0.000, 0.000)  1.16
Ti (0.500, 0.500, 0.000)  1.16

***

FeSiTe2 after structural relaxation, computed with PBE.

## Properties
* total moment: 1.78 Bohr magnetons per cell

a b c (Å): 3.797 4.156 6.535
angles (deg): 83.91 90.00 90.00
Each line ends with the local moment (μB).
Positions (direct):
Fe (0.000, 0.477, 0.626)  1.84
Si (0.500, 0.788, 0.620)  -0.06
Te (0.000, 0.926, 0.891)  -0.01
Te (0.500, 0.309, 0.364)  0.00

***

TmAs2 after structural relaxation, computed with PBE.

## Properties
* E_form: -0.740 eV/atom
* total moment: 0.00 Bohr magnetons per cell

a b c (Å): 3.793 3.793 5.250
angles (deg): 110.17 110.17 89.84
Positions (direct):
As (0.129, 0.129, 0.278)
As (0.871, 0.871, 0.722)
Tm (0.500, 0.500, 0.000)

***

Ce8C4OF3 after structural relaxation, computed with PBE.

## Properties
* total moment: 0.00 Bohr magnetons per cell

a b c (Å): 7.285 7.234 7.285
angles (deg): 120.23 120.00 90.00
Positions (direct):
Ce (0.250, 0.759, 0.009)
Ce (0.250, 0.759, 0.500)
Ce (0.245, 0.234, 0.489)
Ce (0.760, 0.759, 0.009)
Ce (0.240, 0.241, 0.991)
Ce (0.755, 0.766, 0.511)
Ce (0.750, 0.241, 0.500)
Ce (0.750, 0.241, 0.991)
C (0.500, 0.000, 0.000)
C (0.500, 0.000, 0.500)
C (0.000, 0.000, 0.000)
C (0.000, 0.000, 0.500)
O (0.000, 0.500, 0.000)
F (0.500, 0.500, 0.000)
F (0.500, 0.500, 0.500)
F (0.000, 0.500, 0.500)

***

HgAu after structural relaxation, computed with PBE.

## Properties
* E_form: 0.061 eV/atom
* total moment: 0.00 Bohr magnetons per cell

a b c (Å): 8.117 4.313 11.179
angles (deg): 90.00 167.07 90.00
Positions (direct):
Au (0.286, 0.000, 0.243)
Au (0.464, 0.500, 0.757)
Hg (0.151, 0.500, 0.971)
Hg (0.599, 0.000, 0.029)

***

La3OsAu after structural relaxation, computed with PBE.

## Properties
* E_form: -0.400 eV/atom
* total moment: 0.00 Bohr magnetons per cell

a b c (Å): 6.204 6.601 8.954
angles (deg): 118.18 77.45 114.08
Positions (direct):
La (0.453, 0.799, 0.145)
La (0.196, 0.373, 0.669)
La (0.893, 0.808, 0.783)
La (0.107, 0.192, 0.217)
La (0.547, 0.201, 0.855)
La (0.804, 0.627, 0.331)
Os (0.905, 0.664, 0.032)
Os (0.095, 0.336, 0.968)
Au (0.684, 0.237, 0.503)
Au (0.316, 0.763, 0.497)

***

ErZnHg2 after structural relaxation, computed with PBE.

## Properties
* E_form: -0.258 eV/atom
* total moment: 0.00 Bohr magnetons per cell

a b c (Å): 4.241 4.591 4.591
angles (deg): 90.00 90.00 90.00
Positions (direct):
Zn (0.500, 0.000, 0.000)
Hg (0.000, 0.000, 0.500)
Hg (0.000, 0.500, 0.000)
Er (0.500, 0.500, 0.500)

***

MgRePb2O6 after structural relaxation, computed with PBE.

## Properties
* total moment: 1.62 Bohr magnetons per cell

a b c (Å): 5.714 5.688 8.007
angles (deg): 90.00 90.19 90.00
Each line ends with the local moment (μB).
Positions (direct):
Mg (0.500, 0.000, 0.000)  0.00
Mg (0.000, 0.500, 0.500)  0.00
Re (0.500, 0.000, 0.500)  0.61
Re (0.000, 0.500, 0.000)  0.61
Pb (0.006, 0.989, 0.249)  0.02
Pb (0.506, 0.511, 0.749)  0.02
Pb (0.994, 0.011, 0.751)  0.02
Pb (0.494, 0.489, 0.251)  0.02
O (0.254, 0.724, 0.029)  0.01
O (0.754, 0.776, 0.529)  0.01
O (0.746, 0.276, 0.971)  0.01
O (0.246, 0.224, 0.471)  0.01
O (0.279, 0.742, 0.471)  0.01
O (0.779, 0.758, 0.971)  0.01
O (0.721, 0.258, 0.529)  0.01
O (0.221, 0.242, 0.029)  0.01
O (0.947, 0.504, 0.239)  0.01
O (0.447, 0.996, 0.739)  0.01
O (0.053, 0.496, 0.761)  0.01
O (0.553, 0.004, 0.261)  0.01

***

Tc2AuBr after structural relaxation, computed with PBE.

## Properties
* total moment: 0.00 Bohr magnetons per cell

a b c (Å): 3.800 3.107 6.404
angles (deg): 90.00 90.00 90.00
Positions (direct):
Au (0.500, 0.250, 0.250)
Tc (0.000, 0.750, 0.062)
Tc (0.000, 0.750, 0.438)
Br (0.500, 0.750, 0.750)

***

Li6Cu12Si after structural relaxation, computed with PBE.

## Properties
* total moment: 0.00 Bohr magnetons per cell

a b c (Å): 6.390 6.390 6.390
angles (deg): 100.19 100.19 100.19
Positions (direct):
Li (0.161, 0.162, 0.423)
Li (0.838, 0.577, 0.839)
Li (0.577, 0.839, 0.838)
Li (0.839, 0.838, 0.577)
Li (0.162, 0.423, 0.161)
Li (0.423, 0.161, 0.162)
Cu (0.597, 0.180, 0.598)
Cu (0.180, 0.598, 0.597)
Cu (0.598, 0.597, 0.180)
Cu (0.403, 0.820, 0.402)
Cu (0.820, 0.402, 0.403)
Cu (0.402, 0.403, 0.820)
Cu (0.260, 0.000, 0.740)
Cu (0.260, 0.740, 0.000)
Cu (0.000, 0.260, 0.740)
Cu (0.740, 0.000, 0.260)
Cu (0.740, 0.260, 0.000)
Cu (0.000, 0.740, 0.260)
Si (0.000, 0.000, 0.000)

***

BaYW2 after structural relaxation, computed with PBE.

## Properties
* E_form: 1.193 eV/atom
* total moment: 0.00 Bohr magnetons per cell

a b c (Å): 2.942 2.942 10.829
angles (deg): 90.00 90.00 91.97
Positions (direct):
Ba (0.500, 0.500, 0.750)
W (0.000, 0.000, 0.024)
W (0.000, 0.000, 0.476)
Y (0.500, 0.500, 0.250)

***

KUPaSe4 after structural relaxation, computed with PBE.

## Properties
* total moment: 8.00 Bohr magnetons per cell

a b c (Å): 8.787 8.785 8.734
angles (deg): 119.81 90.00 120.01
Each line ends with the local moment (μB).
Positions (direct):
K (0.875, 0.750, 0.125)  0.00
K (0.125, 0.250, 0.875)  0.00
U (0.500, 0.500, 0.500)  2.65
U (0.000, 0.500, 0.500)  2.65
Pa (0.500, 0.000, 0.500)  1.12
Pa (0.500, 0.000, 0.000)  1.12
Se (0.729, 0.459, 0.696)  -0.05
Se (0.303, 0.034, 0.267)  -0.04
Se (0.731, 0.034, 0.267)  -0.04
Se (0.729, 0.459, 0.263)  -0.05
Se (0.271, 0.541, 0.737)  -0.05
Se (0.697, 0.966, 0.733)  -0.04
Se (0.269, 0.966, 0.733)  -0.04
Se (0.271, 0.541, 0.304)  -0.05

***

Cs2NbHgI6 after structural relaxation, computed with PBE.

## Properties
* total moment: 2.00 Bohr magnetons per cell

a b c (Å): 8.258 8.258 19.749
angles (deg): 77.93 77.93 60.00
Each line ends with the local moment (μB).
Positions (direct):
Cs (0.859, 0.859, 0.422)  0.00
Cs (0.141, 0.141, 0.578)  0.00
Cs (0.692, 0.692, 0.923)  0.00
Cs (0.308, 0.308, 0.077)  0.00
Nb (0.000, 0.000, 0.000)  0.88
Nb (0.500, 0.500, 0.500)  0.92
Hg (0.584, 0.584, 0.249)  -0.01
Hg (0.416, 0.416, 0.751)  -0.01
I (0.850, 0.368, 0.414)  -0.01
I (0.368, 0.850, 0.414)  -0.01
I (0.368, 0.368, 0.414)  -0.01
I (0.150, 0.632, 0.586)  -0.01
I (0.632, 0.150, 0.586)  -0.01
I (0.632, 0.632, 0.586)  -0.01
I (0.708, 0.189, 0.914)  -0.01
I (0.189, 0.708, 0.914)  -0.01
I (0.189, 0.189, 0.914)  -0.01
I (0.292, 0.811, 0.086)  -0.01
I (0.811, 0.292, 0.086)  -0.01
I (0.811, 0.811, 0.086)  -0.01

***

BiPb3W after structural relaxation, computed with PBE.

## Properties
* E_form: 0.743 eV/atom
* total moment: 2.43 Bohr magnetons per cell

a b c (Å): 5.470 5.470 5.470
angles (deg): 90.00 90.00 90.00
Each line ends with the local moment (μB).
Positions (direct):
Pb (0.000, 0.500, 0.000)  -0.01
Pb (0.000, 0.000, 0.500)  0.02
Pb (0.500, 0.000, 0.000)  -0.03
Bi (0.500, 0.500, 0.500)  0.68
W (0.000, 0.000, 0.000)  1.12

***

AcCeAs2O8 after structural relaxation, computed with PBE.

## Properties
* total moment: 1.00 Bohr magnetons per cell

a b c (Å): 6.286 6.286 6.286
angles (deg): 106.38 106.38 115.85
Each line ends with the local moment (μB).
Positions (direct):
Ac (0.000, 0.000, 0.000)  0.00
Ce (0.250, 0.750, 0.500)  0.95
As (0.750, 0.250, 0.500)  0.00
As (0.500, 0.500, 0.000)  0.00
O (0.408, 0.082, 0.327)  0.00
O (0.339, 0.518, 0.180)  0.00
O (0.339, 0.159, 0.820)  0.00
O (0.755, 0.082, 0.673)  0.00
O (0.841, 0.661, 0.180)  0.00
O (0.918, 0.245, 0.327)  0.00
O (0.918, 0.592, 0.673)  0.00
O (0.482, 0.661, 0.820)  0.00

***

YPtSe2 after structural relaxation, computed with PBE.

## Properties
* total moment: 0.00 Bohr magnetons per cell

a b c (Å): 5.839 5.839 5.839
angles (deg): 140.14 140.14 57.64
Positions (direct):
Pt (0.750, 0.250, 0.500)
Se (0.000, 0.000, 0.000)
Se (0.250, 0.750, 0.500)
Y (0.500, 0.500, 0.000)

***

CdInBrF2 after structural relaxation, computed with PBE.

## Properties
* total moment: 0.00 Bohr magnetons per cell

a b c (Å): 4.532 4.532 5.624
angles (deg): 90.00 90.00 90.00
Positions (direct):
F (0.000, 0.500, 0.000)
F (0.500, 0.000, 0.000)
Cd (0.000, 0.000, 0.000)
Br (0.000, 0.000, 0.500)
In (0.500, 0.500, 0.500)

***

Tl2AuS after structural relaxation, computed with PBE.

## Properties
* total moment: 0.00 Bohr magnetons per cell

a b c (Å): 5.190 5.190 5.190
angles (deg): 60.00 60.00 60.00
Positions (direct):
Tl (0.250, 0.250, 0.250)
Tl (0.750, 0.750, 0.750)
Au (0.500, 0.500, 0.500)
S (0.000, 0.000, 0.000)

***

Al2ZnNi after structural relaxation, computed with PBE.

## Properties
* E_form: -0.211 eV/atom
* total moment: 0.00 Bohr magnetons per cell

a b c (Å): 4.625 4.625 4.444
angles (deg): 80.27 80.27 36.31
Positions (direct):
Ni (0.503, 0.503, 0.480)
Zn (0.757, 0.757, 0.752)
Al (0.000, 0.000, 0.986)
Al (0.240, 0.240, 0.281)

***

Pr2YPu after structural relaxation, computed with PBE.

## Properties
* E_form: 0.118 eV/atom
* total moment: 6.09 Bohr magnetons per cell

a b c (Å): 3.598 3.598 10.253
angles (deg): 90.00 90.00 90.00
Each line ends with the local moment (μB).
Positions (direct):
Pr (0.000, 0.000, 0.745)  0.04
Pr (0.000, 0.000, 0.255)  0.04
Y (0.500, 0.500, 0.000)  -0.13
Pu (0.500, 0.500, 0.500)  5.64

***

Number 1: E -4.3713 eV/atom. Number 2: E -4.9235 eV/atom. Number 3: E -5.3300 eV/atom. Number 4: E -7.4371 eV/atom. Number 5: E -1.7286 eV/atom. Number 6: E -6.2581 eV/atom. Number 7: E -1.8677 eV/atom. Number 8: E -6.7433 eV/atom. Number 9: E -5.6854 eV/atom. Number 10: E -3.5018 eV/atom. Number 11: E -7.3806 eV/atom. Number 12: E -6.3513 eV/atom. Number 13: E -2.9663 eV/atom. Number 14: E -4.8489 eV/atom. Number 15: E -7.2289 eV/atom. Number 16: E -5.7065 eV/atom. Number 17: E -3.2941 eV/atom. Number 18: E -2.9682 eV/atom. Number 19: E -3.8461 eV/atom. Number 20: E -7.4711 eV/atom.